*A*
# K2NaTl4 PBE-GGA optimized geometry
data_K2NaTl4
_cell_length_a 5.6824
_cell_length_b 5.6824
_cell_length_c 18.0972
_cell_angle_alpha 90.00
_cell_angle_beta 90.00
_cell_angle_gamma 90.00
_space_group_name_H-M_alt 'I 4/m m m'
_space_group_IT_number 139
_space_group_name_Hall '-I 4 2'
loop_
_atom_site_label
_atom_site_type_symbol
_atom_site_fract_x
_atom_site_fract_y
_atom_site_fract_z
K1 K 0.0000 0.0000 0.1364
Na1 Na 0.0000 0.0000 0.5000
Tl1 Tl 0.0000 0.0000 0.3342
Tl2 Tl 0.0000 0.5000 0.0000
# **ρ**: 5.22 g/cm3

*B*
# K2NaTl4 PBE-GGA optimized geometry
data_K2NaTl4
_cell_length_a 5.2310
_cell_length_b 5.2310
_cell_length_c 11.8129
_cell_angle_alpha 90.00
_cell_angle_beta 90.00
_cell_angle_gamma 120.00
_space_group_name_H-M_alt 'P -3 m 1'
_space_group_IT_number 164
_space_group_name_Hall '-P 3 2"'
loop_
_atom_site_label
_atom_site_type_symbol
_atom_site_fract_x
_atom_site_fract_y
_atom_site_fract_z
K1 K 0.3333 0.6667 0.1253
Na1 Na 0.0000 0.0000 0.5000
Tl1 Tl 0.3333 0.6667 0.4188
Tl2 Tl 0.3333 0.6667 0.7021
# **ρ**: 5.45 g/cm3

Relative calculated energies, zero for the most stable structure, unit meV per atom: *A* 195; *B* 0.

*A*
# K2Na4Tl PBE-GGA optimized geometry
data_K2Na4Tl
_cell_length_a 17.9370
_cell_length_b 9.5875
_cell_length_c 6.9489
_cell_angle_alpha 90.00
_cell_angle_beta 97.02
_cell_angle_gamma 90.00
_space_group_name_H-M_alt 'P 1 21/c 1'
_space_group_IT_number 14
_space_group_name_Hall '-P 2ybc'
loop_
_atom_site_label
_atom_site_type_symbol
_atom_site_fract_x
_atom_site_fract_y
_atom_site_fract_z
K1 K 0.0956 0.1306 0.0312
K2 K 0.3062 0.5858 0.6053
Na1 Na 0.0909 0.7500 0.2794
Na2 Na 0.1963 0.0046 0.5631
Na3 Na 0.3725 0.1830 0.6843
Na4 Na 0.4646 0.6573 0.0736
Tl1 Tl 0.0000 0.0000 0.5000
Tl2 Tl 0.5000 0.0000 0.0000
# **ρ**: 2.10 g/cm3

*B*
# K2Na4Tl PBE-GGA optimized geometry
data_K2Na4Tl
_cell_length_a 6.0035
_cell_length_b 6.0035
_cell_length_c 19.3962
_cell_angle_alpha 90.00
_cell_angle_beta 90.00
_cell_angle_gamma 90.00
_space_group_name_H-M_alt 'I 4/m m m'
_space_group_IT_number 139
_space_group_name_Hall '-I 4 2'
loop_
_atom_site_label
_atom_site_type_symbol
_atom_site_fract_x
_atom_site_fract_y
_atom_site_fract_z
K1 K 0.0000 0.0000 0.1359
Na1 Na 0.0000 0.0000 0.3391
Na2 Na 0.0000 0.5000 0.0000
Tl1 Tl 0.0000 0.0000 0.5000
# **ρ**: 1.78 g/cm3

Relative calculated energies, zero for the most stable structure, unit meV per atom: *A* 0; *B* 63.

*A*
# KNa9Tl2 PBE-GGA optimized geometry
data_KNa9Tl2
_cell_length_a 13.9851
_cell_length_b 13.9851
_cell_length_c 8.9973
_cell_angle_alpha 90.00
_cell_angle_beta 90.00
_cell_angle_gamma 90.00
_space_group_name_H-M_alt 'I 41/a m d'
_space_group_IT_number 141
loop_
_space_group_symop_operation_xyz
'x,y,z'
'-x,-y,-z'
'-y+1/4,x+3/4,z+1/4'
'y+1/4,-x+3/4,-z+1/4'
'-x+1/2,-y,z+1/2'
'x+1/2,y,-z+1/2'
'y+1/4,-x+1/4,z+3/4'
'-y+1/4,x+1/4,-z+3/4'
'x,-y,-z'
'-x,y,z'
'-y+1/4,-x+1/4,-z+3/4'
'y+1/4,x+1/4,z+3/4'
'-x+1/2,y,-z+1/2'
'x+1/2,-y,z+1/2'
'y+1/4,x+3/4,-z+1/4'
'-y+1/4,-x+3/4,z+1/4'
'x+1/2,y+1/2,z+1/2'
'-x+1/2,-y+1/2,-z+1/2'
'-y+3/4,x+1/4,z+3/4'
'y+3/4,-x+1/4,-z+3/4'
'-x,-y+1/2,z'
'x,y+1/2,-z'
'y+3/4,-x+3/4,z+1/4'
'-y+3/4,x+3/4,-z+1/4'
'x+1/2,-y+1/2,-z+1/2'
'-x+1/2,y+1/2,z+1/2'
'-y+3/4,-x+3/4,-z+1/4'
'y+3/4,x+3/4,z+1/4'
'-x,y+1/2,-z'
'x,-y+1/2,z'
'y+3/4,x+1/4,-z+3/4'
'-y+3/4,-x+1/4,z+3/4'
loop_
_atom_site_label
_atom_site_type_symbol
_atom_site_fract_x
_atom_site_fract_y
_atom_site_fract_z
K1 K 0.0000 0.2500 0.3750
Na1 Na 0.0000 0.2500 0.8750
Na2 Na 0.1221 0.0527 0.6900
Tl1 Tl 0.0000 0.0000 0.0000
# **ρ**: 2.47 g/cm3

*B*
# KNa9Tl2 PBE-GGA optimized geometry
data_KNa9Tl2
_cell_length_a 11.4836
_cell_length_b 11.4836
_cell_length_c 3.8261
_cell_angle_alpha 90.00
_cell_angle_beta 90.00
_cell_angle_gamma 120.00
_space_group_name_H-M_alt 'P 6/m m m'
_space_group_IT_number 191
_space_group_name_Hall '-P 6 2'
loop_
_atom_site_label
_atom_site_type_symbol
_atom_site_fract_x
_atom_site_fract_y
_atom_site_fract_z
K1 K 0.0000 0.0000 0.0000
Na1 Na 0.0000 0.5000 0.0000
Na2 Na 0.1944 0.3889 0.5000
Tl1 Tl 0.3333 0.6667 0.0000
# **ρ**: 2.49 g/cm3

Relative calculated energies, zero for the most stable structure, unit meV per atom: *A* 0; *B* 8.

*A*
# K2NaTl3 PBE-GGA optimized geometry
data_K2NaTl3
_cell_length_a 14.5722
_cell_length_b 10.6863
_cell_length_c 6.3332
_cell_angle_alpha 90.00
_cell_angle_beta 90.00
_cell_angle_gamma 90.00
_space_group_name_H-M_alt 'C m c m'
_space_group_IT_number 63
_space_group_name_Hall '-C 2c 2'
loop_
_atom_site_label
_atom_site_type_symbol
_atom_site_fract_x
_atom_site_fract_y
_atom_site_fract_z
K1 K 0.1843 0.1715 0.2500
Na1 Na 0.0000 0.2646 0.7500
Tl1 Tl 0.0000 0.0000 0.0000
Tl2 Tl 0.1086 0.5000 0.0000
# **ρ**: 4.81 g/cm3

*B*
# K2NaTl3 PBE-GGA optimized geometry
data_K2NaTl3
_cell_length_a 11.6155
_cell_length_b 6.7168
_cell_length_c 6.7497
_cell_angle_alpha 90.00
_cell_angle_beta 125.42
_cell_angle_gamma 90.00
_space_group_name_H-M_alt 'C 1 2/m 1'
_space_group_IT_number 12
_space_group_name_Hall '-C 2y'
loop_
_atom_site_label
_atom_site_type_symbol
_atom_site_fract_x
_atom_site_fract_y
_atom_site_fract_z
K1 K 0.1200 0.0000 0.3808
Na1 Na 0.0000 0.5000 0.0000
Tl1 Tl 0.0000 0.5000 0.5000
Tl2 Tl 0.2500 0.2500 0.0000
# **ρ**: 5.53 g/cm3

Relative calculated energies, zero for the most stable structure, unit meV per atom: *A* 81; *B* 0.